Here is a relaxed structure of NaSrHfWO6 from Alexandria via LeMat-Bulk. Energies are from PBE with a Hubbard U.

Values from the calculation:
**E_tot**: -0.562 Ry per atom
**Total magnetic moment**: 1.000 μB per formula unit
**Space-group type**: F-43m

CIF file:
```
data_NaSrHfWO6
_symmetry_space_group_name_H-M 'P 1'
_symmetry_Int_Tables_number 1
_symmetry_space_group_name_Hall 'P 1'
_cell_length_a 5.7384
_cell_length_b 5.7384
_cell_length_c 5.7384
_cell_angle_alpha 60.00
_cell_angle_beta 60.00
_cell_angle_gamma 60.00
loop_
_atom_site_label
_atom_site_fract_x
_atom_site_fract_y
_atom_site_fract_z
_atom_site_occupancy
Na1 0.0000 0.0000 0.0000 1
Sr1 0.5000 0.5000 0.5000 1
Hf1 0.2500 0.2500 0.2500 1
W1 0.7500 0.7500 0.7500 1
O1 0.5049 0.5049 0.9951 1
O2 0.5049 0.9951 0.5049 1
O3 0.5049 0.9951 0.9951 1
O4 0.9951 0.5049 0.5049 1
O5 0.9951 0.5049 0.9951 1
O6 0.9951 0.9951 0.5049 1
```